1.
Here is a relaxed Li2LaMg9 crystal from Alexandria via LeMat-Bulk. Energies are from PBE-GGA.

Cell lengths 7.742, 9.402, 9.402 Å; angles 80.24, 65.69, 65.69 degrees
Element x y z (fractional)
Mg: 0.678 0.580 0.177
Mg: 0.678 0.177 0.580
Mg: 0.434 0.420 0.823
Mg: 0.146 0.420 0.177
Mg: 0.072 0.920 0.323
Mg: 0.743 0.580 0.823
Mg: 0.000 0.000 0.000
Mg: 0.146 0.177 0.420
Mg: 0.604 0.323 0.080
Mg: 0.007 0.677 0.920
Mg: 0.316 0.677 0.080
Mg: 0.007 0.920 0.677
Mg: 0.316 0.080 0.677
Mg: 0.604 0.080 0.323
Mg: 0.750 0.500 0.500
Mg: 0.743 0.823 0.580
Mg: 0.434 0.823 0.420
Mg: 0.072 0.323 0.920
Li: 0.875 0.250 0.750
Li: 0.875 0.250 0.250
Li: 0.375 0.750 0.750
Li: 0.875 0.750 0.250
La: 0.250 0.500 0.500
La: 0.500 0.000 0.000

Calculated values
- Magnetic moment: 0.00 μB/cell
- Energy above the lowest structure with this stoichiometry: 0.000 eV per atom
- Uncorrected energy: -1.991 eV/atom
- ΔH_f (0 K): -0.065 eV/atom

=====

2.
Here is a relaxed Ta2Ga2Co crystal from Alexandria via LeMat-Bulk. Energies are from PBE-GGA.

Cell lengths 6.183, 6.183, 4.036 Å; angles 90.00, 90.00, 90.00 degrees
Element x y z (fractional)
Co: 0.500 0.500 0.000
Co: 0.000 0.000 0.000
Ga: 0.142 0.358 0.000
Ga: 0.858 0.642 0.000
Ga: 0.642 0.142 0.000
Ga: 0.358 0.858 0.000
Ta: 0.335 0.165 0.500
Ta: 0.665 0.835 0.500
Ta: 0.165 0.665 0.500
Ta: 0.835 0.335 0.500

Calculated values
- Magnetic moment: 0.00 μB/cell
- Uncorrected energy: -7.500 eV/atom
- ΔH_f (0 K): -0.127 eV/atom

=====

3.
Here is a relaxed BaMgCr2 crystal from Alexandria via LeMat-Bulk. Energies are from PBE-GGA.

Cell lengths 5.387, 5.387, 5.387 Å; angles 60.00, 60.00, 60.00 degrees
Site moments in Bohr magnetons follow the coordinates.
Element x y z (fractional)
Cr: 0.000 0.000 0.000  3.92
Cr: 0.250 0.250 0.250  3.95
Mg: 0.750 0.750 0.750  -0.04
Ba: 0.500 0.500 0.500  0.01

Calculated values
- Magnetic moment: 9.01 μB/cell
- Uncorrected energy: -4.784 eV/atom
- ΔH_f (0 K): 0.907 eV/atom

=====

4.
Here is a relaxed Cd2CuRh crystal from Alexandria via LeMat-Bulk. Energies are from PBE-GGA.

Cell lengths 4.405, 4.405, 8.390 Å; angles 90.00, 90.00, 120.00 degrees
Element x y z (fractional)
Cu: 0.667 0.333 0.250
Cu: 0.333 0.667 0.750
Cd: 0.667 0.333 0.581
Cd: 0.333 0.667 0.081
Cd: 0.667 0.333 0.919
Cd: 0.333 0.667 0.419
Rh: 0.000 0.000 0.250
Rh: 0.000 0.000 0.750

Calculated values
- Magnetic moment: 0.00 μB/cell
- Uncorrected energy: -3.217 eV/atom
- ΔH_f (0 K): 0.103 eV/atom

=====

5.
Here is a relaxed NbTe2Cl crystal from Alexandria via LeMat-Bulk. Energies are from PBE-GGA.

Cell lengths 12.065, 12.065, 12.065 Å; angles 14.89, 14.89, 14.89 degrees
Element x y z (fractional)
Cl: 0.500 0.500 0.500
Nb: 0.000 0.000 0.000
Te: 0.080 0.080 0.080
Te: 0.920 0.920 0.920

Calculated values
- Magnetic moment: 0.00 μB/cell
- Energy above the lowest structure with this stoichiometry: 0.787 eV per atom
- Uncorrected energy: -4.107 eV/atom
- Uncorrected formation energy: 0.44 eV/atom

=====

6.
Here is a relaxed LaLuZnPd crystal from Alexandria via LeMat-Bulk. Energies are from PBE-GGA.

Cell lengths 5.096, 5.096, 5.096 Å; angles 60.00, 60.00, 60.00 degrees
Element x y z (fractional)
La: 0.000 0.000 0.000
Lu: 0.500 0.500 0.500
Zn: 0.750 0.750 0.750
Pd: 0.250 0.250 0.250

Calculated values
- Magnetic moment: 0.00 μB/cell
- Uncorrected energy: -4.523 eV/atom
- ΔH_f (0 K): -0.544 eV/atom